Below is an optimized crystal structure of LiPrEuGe, with properties calculated at the GGA-PBE level.

## Properties
- calculated formation energy (eV/atom) = -0.381
- V (A^3/atom) = 26.04
- total magnetic moment (μB per atom) = 1.881
- energy (eV per formula unit) = -23.11

Structure (POSCAR):
```
LiPrEuGe
1.0
0.000 3.734 3.734
3.734 0.000 3.734
3.734 3.734 0.000
Li Pr Eu Ge
1 1 1 1
direct
0.000 0.000 0.000 Li
0.250 0.250 0.250 Pr
0.750 0.750 0.750 Eu
0.500 0.500 0.500 Ge
```